(one)
An optimized crystal structure of PrDy4, computed with PBE.

Structure (CIF):
```
data_PrDy4
_cell_length_a 5.457
_cell_length_b 16.803
_cell_length_c 3.539
_cell_angle_alpha 90.00
_cell_angle_beta 90.00
_cell_angle_gamma 90.00
_space_group_name_H-M_alt 'C m m m'
_space_group_IT_number 65
_space_group_name_Hall '-C 2 2'
loop_
_atom_site_label
_atom_site_fract_x
_atom_site_fract_y
_atom_site_fract_z
Pr1 0.000 0.000 0.000
Dy1 0.000 0.200 0.000
Dy2 0.000 0.389 0.500
```

(two)
An optimized crystal structure of PrDy4, computed with PBE.

Structure (CIF):
```
data_PrDy4
_cell_length_a 5.656
_cell_length_b 5.656
_cell_length_c 5.656
_cell_angle_alpha 90.00
_cell_angle_beta 90.00
_cell_angle_gamma 90.00
_space_group_name_H-M_alt 'P m -3 m'
_space_group_IT_number 221
_space_group_name_Hall '-P 4 2 3'
loop_
_atom_site_label
_atom_site_fract_x
_atom_site_fract_y
_atom_site_fract_z
Pr1 0.000 0.000 0.000
Dy1 0.000 0.000 0.500
Dy2 0.500 0.500 0.500
```

The energy of each structure relative to the most stable one, in meV/atom, is as follows: (one) 0; (two) 645.

(one)
An optimized crystal structure of Pr5Dy2, computed with PBE.

Structure (CIF):
```
data_Pr5Dy2
_cell_length_a 5.8448
_cell_length_b 5.8448
_cell_length_c 24.7747
_cell_angle_alpha 90.00
_cell_angle_beta 90.00
_cell_angle_gamma 120.00
_space_group_name_H-M_alt 'R -3 m'
_space_group_IT_number 166
_space_group_name_Hall '-R 3 2"'
loop_
_atom_site_label
_atom_site_fract_x
_atom_site_fract_y
_atom_site_fract_z
Pr1 0.0000 0.0000 0.0000
Pr2 0.0000 0.0000 0.2926
Pr3 0.0000 0.0000 0.4321
Dy1 0.0000 0.0000 0.1526
```

(two)
An optimized crystal structure of Pr5Dy2, computed with PBE.

Structure (CIF):
```
data_Pr5Dy2
_cell_length_a 16.529
_cell_length_b 3.583
_cell_length_c 11.565
_cell_angle_alpha 90.00
_cell_angle_beta 132.29
_cell_angle_gamma 90.00
_space_group_name_H-M_alt 'C 1 2/m 1'
_space_group_IT_number 12
loop_
_space_group_symop_operation_xyz
'x,y,z'
'-x,-y,-z'
'-x,y,-z'
'x,-y,z'
'x+1/2,y+1/2,z'
'-x+1/2,-y+1/2,-z'
'-x+1/2,y+1/2,-z'
'x+1/2,-y+1/2,z'
loop_
_atom_site_label
_atom_site_fract_x
_atom_site_fract_y
_atom_site_fract_z
Pr1 0.000 0.000 0.000
Pr2 0.130 0.500 0.362
Pr3 0.162 0.000 0.670
Dy1 0.138 0.500 0.913
```

The energy of each structure relative to the most stable one, in meV/atom, is as follows: (one) 0; (two) 52.

(one)
An optimized crystal structure of Pr4Dy, computed with PBE.

Structure (CIF):
```
data_Pr4Dy
_cell_length_a 5.889
_cell_length_b 5.889
_cell_length_c 5.889
_cell_angle_alpha 90.00
_cell_angle_beta 90.00
_cell_angle_gamma 90.00
_space_group_name_H-M_alt 'P m -3 m'
_space_group_IT_number 221
_space_group_name_Hall '-P 4 2 3'
loop_
_atom_site_label
_atom_site_fract_x
_atom_site_fract_y
_atom_site_fract_z
Pr1 0.000 0.000 0.000
Pr2 0.000 0.500 0.500
Dy1 0.500 0.500 0.500
```

(two)
An optimized crystal structure of Pr4Dy, computed with PBE.

Structure (CIF):
```
data_Pr4Dy
_cell_length_a 3.6805
_cell_length_b 3.6805
_cell_length_c 45.0233
_cell_angle_alpha 90.00
_cell_angle_beta 90.00
_cell_angle_gamma 120.00
_space_group_name_H-M_alt 'R -3 m'
_space_group_IT_number 166
_space_group_name_Hall '-R 3 2"'
loop_
_atom_site_label
_atom_site_fract_x
_atom_site_fract_y
_atom_site_fract_z
Pr1 0.0000 0.0000 0.1017
Pr2 0.0000 0.0000 0.2996
Dy1 0.0000 0.0000 0.5000
```

(three)
An optimized crystal structure of Pr4Dy, computed with PBE.

Structure (CIF):
```
data_Pr4Dy
_cell_length_a 3.689
_cell_length_b 3.689
_cell_length_c 25.976
_cell_angle_alpha 90.00
_cell_angle_beta 90.00
_cell_angle_gamma 90.00
_space_group_name_H-M_alt 'I 4/m m m'
_space_group_IT_number 139
_space_group_name_Hall '-I 4 2'
loop_
_atom_site_label
_atom_site_fract_x
_atom_site_fract_y
_atom_site_fract_z
Pr1 0.000 0.000 0.097
Pr2 0.000 0.000 0.301
Dy1 0.000 0.000 0.500
```

The energy of each structure relative to the most stable one, in meV/atom, is as follows: (one) 603; (two) 0; (three) 6.

(one)
An optimized crystal structure of Pr7Dy5, computed with PBE.

Structure (CIF):
```
data_Pr7Dy5
_cell_length_a 9.790
_cell_length_b 5.880
_cell_length_c 14.891
_cell_angle_alpha 90.00
_cell_angle_beta 103.92
_cell_angle_gamma 90.00
_space_group_name_H-M_alt 'C 1 2/m 1'
_space_group_IT_number 12
loop_
_space_group_symop_operation_xyz
'x,y,z'
'-x,-y,-z'
'-x,y,-z'
'x,-y,z'
'x+1/2,y+1/2,z'
'-x+1/2,-y+1/2,-z'
'-x+1/2,y+1/2,-z'
'x+1/2,-y+1/2,z'
loop_
_atom_site_label
_atom_site_fract_x
_atom_site_fract_y
_atom_site_fract_z
Pr1 0.000 0.000 0.000
Pr2 0.040 0.500 0.713
Pr3 0.181 0.000 0.582
Pr4 0.240 0.500 0.170
Dy1 0.000 0.500 0.500
Dy2 0.124 0.000 0.300
Dy3 0.139 0.500 0.940
```

(two)
An optimized crystal structure of Pr7Dy5, computed with PBE.

Structure (CIF):
```
data_Pr7Dy5
_cell_length_a 18.965
_cell_length_b 3.667
_cell_length_c 13.388
_cell_angle_alpha 90.00
_cell_angle_beta 118.13
_cell_angle_gamma 90.00
_space_group_name_H-M_alt 'C 1 2/m 1'
_space_group_IT_number 12
loop_
_space_group_symop_operation_xyz
'x,y,z'
'-x,-y,-z'
'-x,y,-z'
'x,-y,z'
'x+1/2,y+1/2,z'
'-x+1/2,-y+1/2,-z'
'-x+1/2,y+1/2,-z'
'x+1/2,-y+1/2,z'
loop_
_atom_site_label
_atom_site_fract_x
_atom_site_fract_y
_atom_site_fract_z
Pr1 0.000 0.000 0.000
Pr2 0.029 0.500 0.250
Pr3 0.140 0.000 0.752
Pr4 0.167 0.000 0.504
Dy1 0.000 0.500 0.500
Dy2 0.168 0.500 0.003
Dy3 0.194 0.000 0.247
```

The energy of each structure relative to the most stable one, in meV/atom, is as follows: (one) 148; (two) 0.

(one)
An optimized crystal structure of Pr5Dy7, computed with PBE.

Structure (CIF):
```
data_Pr5Dy7
_cell_length_a 9.684
_cell_length_b 5.818
_cell_length_c 14.903
_cell_angle_alpha 90.00
_cell_angle_beta 103.86
_cell_angle_gamma 90.00
_space_group_name_H-M_alt 'C 1 2/m 1'
_space_group_IT_number 12
loop_
_space_group_symop_operation_xyz
'x,y,z'
'-x,-y,-z'
'-x,y,-z'
'x,-y,z'
'x+1/2,y+1/2,z'
'-x+1/2,-y+1/2,-z'
'-x+1/2,y+1/2,-z'
'x+1/2,-y+1/2,z'
loop_
_atom_site_label
_atom_site_fract_x
_atom_site_fract_y
_atom_site_fract_z
Pr1 0.000 0.000 0.000
Pr2 0.119 0.500 0.798
Pr3 0.136 0.000 0.435
Dy1 0.000 0.500 0.500
Dy2 0.047 0.000 0.215
Dy3 0.183 0.500 0.084
Dy4 0.241 0.000 0.672
```

(two)
An optimized crystal structure of Pr5Dy7, computed with PBE.

Structure (CIF):
```
data_Pr5Dy7
_cell_length_a 18.819
_cell_length_b 3.635
_cell_length_c 13.280
_cell_angle_alpha 90.00
_cell_angle_beta 118.20
_cell_angle_gamma 90.00
_space_group_name_H-M_alt 'C 1 2/m 1'
_space_group_IT_number 12
loop_
_space_group_symop_operation_xyz
'x,y,z'
'-x,-y,-z'
'-x,y,-z'
'x,-y,z'
'x+1/2,y+1/2,z'
'-x+1/2,-y+1/2,-z'
'-x+1/2,y+1/2,-z'
'x+1/2,-y+1/2,z'
loop_
_atom_site_label
_atom_site_fract_x
_atom_site_fract_y
_atom_site_fract_z
Pr1 0.000 0.000 0.000
Pr2 0.165 0.000 0.497
Pr3 0.195 0.500 0.751
Dy1 0.000 0.500 0.500
Dy2 0.027 0.000 0.750
Dy3 0.137 0.500 0.248
Dy4 0.166 0.500 0.997
```

The energy of each structure relative to the most stable one, in meV/atom, is as follows: (one) 172; (two) 0.

(one)
An optimized crystal structure of PrDy2Pt, computed with PBE.

Structure (CIF):
```
data_PrDy2Pt
_cell_length_a 3.9798
_cell_length_b 3.9798
_cell_length_c 27.2044
_cell_angle_alpha 90.00
_cell_angle_beta 90.00
_cell_angle_gamma 120.00
_space_group_name_H-M_alt 'R 3 m'
_space_group_IT_number 160
_space_group_name_Hall 'R 3 -2"'
loop_
_atom_site_label
_atom_site_fract_x
_atom_site_fract_y
_atom_site_fract_z
Pr1 0.0000 0.0000 0.0000
Dy1 0.0000 0.0000 0.2279
Dy2 0.0000 0.0000 0.4436
Pt1 0.0000 0.0000 0.8364
```

(two)
An optimized crystal structure of PrDy2Pt, computed with PBE.

Structure (CIF):
```
data_PrDy2Pt
_cell_length_a 3.8815
_cell_length_b 3.8815
_cell_length_c 28.4574
_cell_angle_alpha 90.00
_cell_angle_beta 90.00
_cell_angle_gamma 120.00
_space_group_name_H-M_alt 'R -3 m'
_space_group_IT_number 166
_space_group_name_Hall '-R 3 2"'
loop_
_atom_site_label
_atom_site_fract_x
_atom_site_fract_y
_atom_site_fract_z
Pr1 0.0000 0.0000 0.0000
Dy1 0.0000 0.0000 0.2260
Pt1 0.0000 0.0000 0.5000
```

(three)
An optimized crystal structure of PrDy2Pt, computed with PBE.

Structure (CIF):
```
data_PrDy2Pt
_cell_length_a 3.571
_cell_length_b 3.571
_cell_length_c 8.732
_cell_angle_alpha 90.00
_cell_angle_beta 90.00
_cell_angle_gamma 90.00
_space_group_name_H-M_alt 'P 4/m m m'
_space_group_IT_number 123
_space_group_name_Hall '-P 4 2'
loop_
_atom_site_label
_atom_site_fract_x
_atom_site_fract_y
_atom_site_fract_z
Pr1 0.000 0.000 0.000
Dy1 0.500 0.500 0.313
Pt1 0.000 0.000 0.500
```

The energy of each structure relative to the most stable one, in meV/atom, is as follows: (one) 57; (two) 85; (three) 0.